Compound: Ba2LaCl
Source: Alexandria via LeMat-Bulk
Functional: PBE
Structure: optimized geometry

- calculated total energy (eV per cell) = -12.77
- space-group type = No. 99
- DOS(E_F) (states/eV/f.u.) = 6.2
- energy relative to the elements, uncorrected (meV/atom) = -538
- excess energy over the best structure of this formula in the dataset (meV per atom) = 216.9

Structure (POSCAR):
```
Ba2LaCl
1.0
3.849 0.000 0.000
0.000 3.849 0.000
0.000 0.000 11.102
Cl Ba La
1 2 1
Cartesian
0.000 0.000 5.740 Cl
0.000 0.000 10.907 Ba
1.925 1.925 3.458 Ba
1.925 1.925 7.650 La
```